[1]
Cu2AsSe3: relaxed, PBE.

Cell and atoms, written as POSCAR:
```
Cu2AsSe3
1.0
6.6769 -0.0446 -1.2258
-2.5931 6.1529 -1.2259
0.2241 0.3352 13.4445
Cu As Se
8 4 12
Cartesian
-0.0676 1.5464 4.0111 Cu
1.2711 3.5695 -1.2259 Cu
2.8530 5.9149 6.9817 Cu
2.9262 1.0086 1.5395 Cu
4.4942 3.3540 9.4532 Cu
-0.9343 5.2864 5.4964 Cu
5.8386 0.5158 -1.2258 Cu
3.6332 2.2328 5.4964 Cu
0.7558 2.6019 7.9983 As
2.1924 4.7507 2.9945 As
-1.5880 4.1120 1.2246 As
-0.0989 6.3393 9.7682 As
2.4227 2.5805 10.4578 Se
3.5896 4.5958 5.0701 Se
0.6139 0.3828 1.9578 Se
4.1888 5.7299 9.0350 Se
1.4329 1.3699 5.9227 Se
2.8492 3.2184 0.5350 Se
-0.7315 3.1482 12.6203 Se
0.6461 4.9388 7.2558 Se
4.3585 0.9679 3.5348 Se
-0.0091 3.9589 3.7369 Se
1.1190 5.9162 -1.6275 Se
5.0792 2.0459 7.4579 Se
```

Values from the calculation:
Polymorph energy (0 for the lowest one)   0 meV per atom
Formation energy without anion corrections   -104 meV per atom
Symmetry   Fdd2 (43)
Raw total energy   -3.987 eV/atom

[2]
Tb4ScAl: relaxed, PBE.

Cell and atoms, written as POSCAR:
```
Tb4ScAl
1.0
-3.2654 0.8813 -3.9154
-3.3529 -3.6758 -1.4496
-7.8626 2.0644 3.6033
Tb Sc Al
4 1 1
Cartesian
-5.1379 -1.4743 -2.8840 Tb
-9.3430 0.7441 1.1223 Tb
-5.6971 0.9208 1.5400 Tb
-8.7838 -1.6509 -3.3017 Tb
0.0000 0.0000 0.0000 Sc
-7.2404 -0.3651 -0.8809 Al
```

Values from the calculation:
Polymorph energy (0 for the lowest one)   369 meV per atom
Symmetry   C2/m (12)
Raw total energy   -4.413 eV/atom
Energy relative to the elements   2.1 eV/f.u.

[3]
Sr2GaAgRh: relaxed, PBE.

Cell and atoms, written as POSCAR:
```
Sr2GaAgRh
1.0
5.7385 0.0000 0.0000
0.0000 5.7385 0.0000
0.0000 0.0000 4.7872
Sr Rh Ga Ag
2 1 1 1
Cartesian
0.0000 2.8693 0.0000 Sr
2.8693 0.0000 0.0000 Sr
0.0000 0.0000 0.0000 Rh
0.0000 0.0000 2.3936 Ga
2.8693 2.8693 2.3936 Ag
```

Values from the calculation:
Symmetry   P4/mmm (123)
Raw total energy   -3.567 eV/atom
Energy relative to the elements   -1.2 eV/f.u.

[4]
Be2Te: relaxed, PBE.

Cell and atoms, written as POSCAR:
```
Be2Te
1.0
1.3423 0.6826 3.4475
-1.4907 -3.3584 -0.8073
7.5814 -2.7882 -2.3997
Be Te
4 2
Cartesian
2.7796 -3.2346 -0.4418 Be
7.5147 -3.2817 -0.2234 Be
4.6534 -2.2295 0.6823 Be
-0.0816 -2.1823 0.4639 Be
5.1397 -4.1026 -1.1888 Te
2.2933 -1.3615 1.4293 Te
```

Values from the calculation:
Polymorph energy (0 for the lowest one)   555 meV per atom
Formation energy without anion corrections   577 meV per atom
Symmetry   P6_3/mmc (194)
Raw total energy   -2.955 eV/atom

[5]
LiLa3Pm2Se6: relaxed, PBE.

Cell and atoms, written as POSCAR:
```
LiLa3Pm2Se6
1.0
-0.5045 -5.4664 4.8874
6.5954 2.4434 -2.1338
-2.0863 5.5956 4.1940
Li La Pm Se
1 3 2 6
Cartesian
0.0000 0.0000 0.0000 Li
4.3620 3.9152 1.1402 La
-0.3574 -1.3426 5.8073 La
2.0023 1.2863 3.4738 La
4.2221 -0.2006 0.2132 Pm
1.8688 -2.8224 2.5404 Pm
1.8862 0.6957 6.4306 Se
4.1140 -0.9639 3.0743 Se
2.1184 1.8768 0.5170 Se
4.1837 3.2554 4.1585 Se
-0.1095 3.5365 3.8733 Se
-0.1792 -0.6828 2.7891 Se
```

Values from the calculation:
Formation energy without anion corrections   -1864 meV per atom
Symmetry   C2/m (12)
Raw total energy   -5.790 eV/atom